The following is a PBE+U calculation of crystalline K2Ac2CrO6 at its relaxed geometry, from the Alexandria database.

Properties
* space-group type: No. 12
* energy: -6.5555 eV per atom

Lattice parameters (Å, degrees): 6.1432 6.1432 6.5807 96.38 96.38 118.76
Element x y z (fractional)
K  0.1471  0.8529  0.0000
K  0.8529  0.1471  0.0000
Ac  0.3365  0.6635  0.5000
Ac  0.6635  0.3365  0.5000
Cr  0.0000  0.0000  0.5000
O  0.0366  0.3250  0.6668
O  0.2147  0.2147  0.3234
O  0.3250  0.0366  0.6668
O  0.6750  0.9634  0.3332
O  0.7853  0.7853  0.6766
O  0.9634  0.6750  0.3332